(1)
{
  "formula": "CdPdCl4",
  "functional": "PBE",
  "state": "optimized geometry",
  "lattice": [[7.0857, -1.9061, 0.0000], [7.0857, 1.9061, 0.0000], [-3.0352, 0.0000, 5.8846]],
  "species": ["Cd", "Pd", "Cl", "Cl", "Cl", "Cl"],
  "fractional_positions": [[0.0000, 0.0000, 0.0000], [0.5000, 0.5000, 0.5000], [0.1094, 0.1094, 0.7603], [0.3872, 0.3872, 0.7097], [0.6128, 0.6128, 0.2903], [0.8906, 0.8906, 0.2397]],
  "e_tot_ev_per_atom": -2.941,
  "sg": "C2/m (12)"
}

=====

(2)
{
  "formula": "KPdBr",
  "functional": "PBE",
  "state": "optimized geometry",
  "lattice": [[-2.8140, 4.6994, 3.5887], [2.8140, -4.6994, 3.5887], [2.8140, 4.6994, -3.5887]],
  "species": ["K", "K", "Pd", "Pd", "Br", "Br"],
  "fractional_positions": [[0.2494, 0.0000, 0.2494], [0.7506, 0.0000, 0.7506], [0.2514, 0.0014, 0.7500], [0.2514, 0.5014, 0.2500], [0.5398, 0.5398, 0.0000], [0.9630, 0.4630, 0.5000]],
  "e_tot_ev_per_atom": -3.358,
  "sg": "Imm2 (44)"
}

=====

Number 1: excess energy over the best structure of this formula in the dataset 48.5 meV/atom. Number 2: excess energy over the best structure of this formula in the dataset 7.3 meV/atom.